{"formula": "Te2PbO", "functional": "GGA-PBE", "state": "relaxed", "de_polymorph_mev_per_atom": 282.5, "energy_ev_per_atom": -3.551, "e_form_raw_ev_per_atom": 0.19, "lattice_angstrom": [[2.157, 1.245, 5.961], [-2.157, 1.245, 5.961], [0.000, -2.490, 5.961]], "species": ["Te", "Te", "Pb", "O"], "fractional_positions": [[0.226, 0.226, 0.226], [0.774, 0.774, 0.774], [0.000, 0.000, 0.000], [0.500, 0.500, 0.500]]}

---

{"formula": "TePb3O6", "functional": "GGA-PBE", "state": "relaxed", "energy_ev_per_atom": -5.521, "e_form_raw_ev_per_atom": -1.12, "lattice_angstrom": [[5.195, 2.999, 3.757], [-5.195, 2.999, 3.757], [0.000, -5.999, 3.757]], "species": ["Te", "Te", "Pb", "Pb", "Pb", "Pb", "Pb", "Pb", "O", "O", "O", "O", "O", "O", "O", "O", "O", "O", "O", "O"], "fractional_positions": [[0.000, 0.000, 0.000], [0.500, 0.500, 0.500], [0.056, 0.756, 0.569], [0.244, 0.431, 0.944], [0.431, 0.944, 0.244], [0.569, 0.056, 0.756], [0.756, 0.569, 0.056], [0.944, 0.244, 0.431], [0.045, 0.738, 0.911], [0.089, 0.955, 0.262], [0.226, 0.449, 0.535], [0.262, 0.089, 0.955], [0.449, 0.535, 0.226], [0.465, 0.774, 0.551], [0.535, 0.226, 0.449], [0.551, 0.465, 0.774], [0.738, 0.911, 0.045], [0.774, 0.551, 0.465], [0.911, 0.045, 0.738], [0.955, 0.262, 0.089]]}

---

{"formula": "TePbO3", "functional": "GGA-PBE", "state": "relaxed", "energy_ev_per_atom": -5.440, "e_form_raw_ev_per_atom": -1.09, "lattice_angstrom": [[4.932, -5.974, 0.000], [4.932, 5.974, 0.000], [-0.993, 0.000, 6.613]], "species": ["Te", "Te", "Te", "Te", "Pb", "Pb", "Pb", "Pb", "O", "O", "O", "O", "O", "O", "O", "O", "O", "O", "O", "O"], "fractional_positions": [[0.096, 0.316, 0.293], [0.316, 0.096, 0.793], [0.684, 0.904, 0.207], [0.904, 0.684, 0.707], [0.185, 0.815, 0.250], [0.373, 0.627, 0.750], [0.627, 0.373, 0.250], [0.815, 0.185, 0.750], [0.099, 0.658, 0.896], [0.180, 0.560, 0.399], [0.270, 0.294, 0.121], [0.294, 0.270, 0.621], [0.342, 0.901, 0.604], [0.440, 0.820, 0.101], [0.560, 0.180, 0.899], [0.658, 0.099, 0.396], [0.706, 0.730, 0.379], [0.730, 0.706, 0.879], [0.820, 0.440, 0.601], [0.901, 0.342, 0.104]]}

---

{"formula": "TePbO3", "functional": "GGA-PBE", "state": "relaxed", "energy_ev_per_atom": -5.473, "e_form_raw_ev_per_atom": -1.13, "lattice_angstrom": [[5.448, 0.000, 0.000], [0.000, 5.448, 0.000], [0.000, 0.000, 12.227]], "species": ["Te", "Te", "Te", "Te", "Pb", "Pb", "Pb", "Pb", "O", "O", "O", "O", "O", "O", "O", "O", "O", "O", "O", "O"], "fractional_positions": [[0.238, 0.747, 0.000], [0.253, 0.238, 0.250], [0.747, 0.762, 0.750], [0.762, 0.253, 0.500], [0.259, 0.264, 0.756], [0.264, 0.741, 0.506], [0.736, 0.259, 0.006], [0.741, 0.736, 0.256], [0.019, 0.611, 0.105], [0.116, 0.476, 0.347], [0.374, 0.437, 0.957], [0.389, 0.019, 0.355], [0.437, 0.626, 0.707], [0.476, 0.884, 0.097], [0.524, 0.116, 0.597], [0.563, 0.374, 0.207], [0.611, 0.981, 0.855], [0.626, 0.563, 0.457], [0.884, 0.524, 0.847], [0.981, 0.389, 0.605]]}

---

{"formula": "Te3Pb2O8", "functional": "GGA-PBE", "state": "relaxed", "de_polymorph_mev_per_atom": 245.6, "energy_ev_per_atom": -5.226, "e_form_raw_ev_per_atom": -0.88, "lattice_angstrom": [[6.202, -3.382, 0.000], [6.202, 3.382, 0.000], [-2.109, 0.000, 5.398]], "species": ["Te", "Te", "Te", "Pb", "Pb", "O", "O", "O", "O", "O", "O", "O", "O"], "fractional_positions": [[0.000, 0.000, 0.000], [0.261, 0.739, 0.500], [0.739, 0.261, 0.500], [0.288, 0.288, 0.839], [0.712, 0.712, 0.161], [0.109, 0.109, 0.399], [0.124, 0.667, 0.102], [0.333, 0.876, 0.898], [0.402, 0.402, 0.552], [0.598, 0.598, 0.448], [0.667, 0.124, 0.102], [0.876, 0.333, 0.898], [0.891, 0.891, 0.601]]}

---

{"formula": "Te4PbO12", "functional": "GGA-PBE", "state": "relaxed", "energy_ev_per_atom": -5.267, "e_form_raw_ev_per_atom": -0.81, "lattice_angstrom": [[-3.921, 3.921, 3.921], [3.921, -3.921, 3.921], [3.921, 3.921, -3.921]], "species": ["Te", "Te", "Te", "Te", "Pb", "O", "O", "O", "O", "O", "O", "O", "O", "O", "O", "O", "O"], "fractional_positions": [[0.000, 0.000, 0.500], [0.000, 0.500, 0.000], [0.500, 0.000, 0.000], [0.500, 0.500, 0.500], [0.000, 0.000, 0.000], [0.071, 0.278, 0.793], [0.207, 0.484, 0.278], [0.207, 0.929, 0.722], [0.278, 0.207, 0.484], [0.278, 0.793, 0.071], [0.484, 0.278, 0.207], [0.516, 0.722, 0.793], [0.722, 0.207, 0.929], [0.722, 0.793, 0.516], [0.793, 0.071, 0.278], [0.793, 0.516, 0.722], [0.929, 0.722, 0.207]]}

---

{"formula": "TePbO3", "functional": "GGA-PBE", "state": "relaxed", "energy_ev_per_atom": -5.477, "e_form_raw_ev_per_atom": -1.13, "lattice_angstrom": [[13.679, -2.342, 0.000], [13.679, 2.342, 0.000], [-5.733, 0.000, 17.852]], "species": ["Te", "Te", "Te", "Te", "Te", "Te", "Te", "Te", "Te", "Te", "Te", "Te", "Pb", "Pb", "Pb", "Pb", "Pb", "Pb", "Pb", "Pb", "Pb", "Pb", "Pb", "Pb", "O", "O", "O", "O", "O", "O", "O", "O", "O", "O", "O", "O", "O", "O", "O", "O", "O", "O", "O", "O", "O", "O", "O", "O", "O", "O", "O", "O", "O", "O", "O", "O", "O", "O", "O", "O"], "fractional_positions": [[0.137, 0.449, 0.402], [0.174, 0.730, 0.629], [0.204, 0.661, 0.291], [0.270, 0.826, 0.871], [0.339, 0.796, 0.209], [0.449, 0.137, 0.902], [0.551, 0.863, 0.098], [0.661, 0.204, 0.791], [0.730, 0.174, 0.129], [0.796, 0.339, 0.709], [0.826, 0.270, 0.371], [0.863, 0.551, 0.598], [0.019, 0.350, 0.239], [0.114, 0.572, 0.090], [0.155, 0.715, 0.948], [0.285, 0.845, 0.552], [0.350, 0.019, 0.739], [0.428, 0.886, 0.410], [0.572, 0.114, 0.590], [0.650, 0.981, 0.261], [0.715, 0.155, 0.448], [0.845, 0.285, 0.052], [0.886, 0.428, 0.910], [0.981, 0.650, 0.761], [0.032, 0.526, 0.298], [0.035, 0.727, 0.577], [0.097, 0.720, 0.374], [0.109, 0.532, 0.899], [0.125, 0.605, 0.219], [0.153, 0.294, 0.390], [0.161, 0.791, 0.544], [0.209, 0.839, 0.956], [0.268, 0.608, 0.811], [0.273, 0.965, 0.923], [0.280, 0.903, 0.126], [0.294, 0.153, 0.890], [0.318, 0.567, 0.130], [0.392, 0.732, 0.689], [0.395, 0.875, 0.281], [0.433, 0.682, 0.370], [0.468, 0.891, 0.601], [0.474, 0.968, 0.202], [0.526, 0.032, 0.798], [0.532, 0.109, 0.399], [0.567, 0.318, 0.630], [0.605, 0.125, 0.719], [0.608, 0.268, 0.311], [0.682, 0.433, 0.870], [0.706, 0.847, 0.110], [0.720, 0.097, 0.874], [0.727, 0.035, 0.077], [0.732, 0.392, 0.189], [0.791, 0.161, 0.044], [0.839, 0.209, 0.456], [0.847, 0.706, 0.610], [0.875, 0.395, 0.781], [0.891, 0.468, 0.101], [0.903, 0.280, 0.626], [0.965, 0.273, 0.423], [0.968, 0.474, 0.702]]}

---

{"formula": "Te3PbO", "functional": "GGA-PBE", "state": "relaxed", "de_polymorph_mev_per_atom": 1311.4, "energy_ev_per_atom": -2.350, "e_form_raw_ev_per_atom": 1.27, "lattice_angstrom": [[5.817, 0.000, 0.000], [0.000, 5.817, 0.000], [0.000, 0.000, 5.817]], "species": ["Te", "Te", "Te", "Pb", "O"], "fractional_positions": [[0.000, 0.000, 0.500], [0.000, 0.500, 0.000], [0.500, 0.000, 0.000], [0.000, 0.000, 0.000], [0.500, 0.500, 0.500]]}

---

{"formula": "TePb5O8", "functional": "GGA-PBE", "state": "relaxed", "energy_ev_per_atom": -5.527, "e_form_raw_ev_per_atom": -1.15, "lattice_angstrom": [[7.613, 0.000, 0.000], [0.000, 12.282, 0.000], [-7.451, 0.000, 10.910]], "species": ["Te", "Te", "Te", "Te", "Pb", "Pb", "Pb", "Pb", "Pb", "Pb", "Pb", "Pb", "Pb", "Pb", "Pb", "Pb", "Pb", "Pb", "Pb", "Pb", "Pb", "Pb", "Pb", "Pb", "O", "O", "O", "O", "O", "O", "O", "O", "O", "O", "O", "O", "O", "O", "O", "O", "O", "O", "O", "O", "O", "O", "O", "O", "O", "O", "O", "O", "O", "O", "O", "O"], "fractional_positions": [[0.078, 0.115, 0.219], [0.078, 0.385, 0.719], [0.922, 0.615, 0.281], [0.922, 0.885, 0.781], [0.175, 0.120, 0.545], [0.175, 0.380, 0.045], [0.218, 0.604, 0.599], [0.218, 0.896, 0.099], [0.261, 0.117, 0.870], [0.261, 0.383, 0.370], [0.288, 0.657, 0.923], [0.288, 0.843, 0.423], [0.406, 0.629, 0.241], [0.406, 0.871, 0.741], [0.594, 0.129, 0.259], [0.594, 0.371, 0.759], [0.712, 0.157, 0.577], [0.712, 0.343, 0.077], [0.739, 0.617, 0.630], [0.739, 0.883, 0.130], [0.782, 0.104, 0.901], [0.782, 0.396, 0.401], [0.825, 0.620, 0.955], [0.825, 0.880, 0.455], [0.015, 0.653, 0.176], [0.015, 0.847, 0.676], [0.057, 0.230, 0.672], [0.057, 0.270, 0.172], [0.084, 0.544, 0.751], [0.084, 0.956, 0.251], [0.157, 0.079, 0.101], [0.157, 0.421, 0.601], [0.174, 0.575, 0.030], [0.174, 0.925, 0.530], [0.222, 0.590, 0.420], [0.222, 0.910, 0.920], [0.377, 0.129, 0.347], [0.377, 0.371, 0.847], [0.415, 0.049, 0.780], [0.415, 0.451, 0.280], [0.585, 0.549, 0.720], [0.585, 0.951, 0.220], [0.623, 0.629, 0.153], [0.623, 0.871, 0.653], [0.778, 0.090, 0.080], [0.778, 0.410, 0.580], [0.826, 0.075, 0.470], [0.826, 0.425, 0.970], [0.843, 0.579, 0.399], [0.843, 0.921, 0.899], [0.916, 0.044, 0.749], [0.916, 0.456, 0.249], [0.943, 0.730, 0.828], [0.943, 0.770, 0.328], [0.985, 0.153, 0.324], [0.985, 0.347, 0.824]]}

---

{"formula": "Te2Pb3O8", "functional": "GGA-PBE", "state": "relaxed", "energy_ev_per_atom": -5.316, "e_form_raw_ev_per_atom": -0.93, "lattice_angstrom": [[3.184, 1.838, 6.357], [-3.184, 1.838, 6.357], [0.000, -3.677, 6.357]], "species": ["Te", "Te", "Pb", "Pb", "Pb", "O", "O", "O", "O", "O", "O", "O", "O"], "fractional_positions": [[0.079, 0.079, 0.079], [0.921, 0.921, 0.921], [0.305, 0.305, 0.305], [0.500, 0.500, 0.500], [0.695, 0.695, 0.695], [0.177, 0.177, 0.177], [0.245, 0.245, 0.716], [0.245, 0.716, 0.245], [0.284, 0.755, 0.755], [0.716, 0.245, 0.245], [0.755, 0.284, 0.755], [0.755, 0.755, 0.284], [0.823, 0.823, 0.823]]}

---

{"formula": "TiTePbO5", "functional": "GGA-PBE", "state": "relaxed", "energy_ev_per_atom": -6.630, "e_form_raw_ev_per_atom": -1.69, "lattice_angstrom": [[3.806, -4.580, 0.000], [3.806, 4.580, 0.000], [-3.470, 0.000, 7.035]], "species": ["Ti", "Ti", "Te", "Te", "Pb", "Pb", "O", "O", "O", "O", "O", "O", "O", "O", "O", "O"], "fractional_positions": [[0.000, 0.500, 0.000], [0.500, 0.000, 0.500], [0.033, 0.967, 0.750], [0.967, 0.033, 0.250], [0.447, 0.553, 0.750], [0.553, 0.447, 0.250], [0.106, 0.749, 0.885], [0.240, 0.334, 0.937], [0.251, 0.894, 0.615], [0.271, 0.729, 0.250], [0.334, 0.240, 0.437], [0.666, 0.760, 0.563], [0.729, 0.271, 0.750], [0.749, 0.106, 0.385], [0.760, 0.666, 0.063], [0.894, 0.251, 0.115]]}

---

{"formula": "TlTePb2O8", "functional": "GGA-PBE", "state": "relaxed", "energy_ev_per_atom": -5.245, "e_form_raw_ev_per_atom": -0.86, "lattice_angstrom": [[3.517, -3.582, 0.000], [3.517, 3.582, 0.000], [0.000, 0.000, 6.930]], "species": ["Tl", "Te", "Pb", "Pb", "O", "O", "O", "O", "O", "O", "O", "O"], "fractional_positions": [[0.000, 0.000, 0.000], [0.000, 0.000, 0.500], [0.500, 0.500, 0.253], [0.500, 0.500, 0.747], [0.183, 0.817, 0.286], [0.183, 0.817, 0.714], [0.286, 0.286, 0.500], [0.308, 0.308, 0.000], [0.692, 0.692, 0.000], [0.714, 0.714, 0.500], [0.817, 0.183, 0.286], [0.817, 0.183, 0.714]]}

---

> Which formula does entry 2 have?

TePb3O6

---

> Which formula does entry 6 have?

Te4PbO12